Compound: LiSm2Sc3Te6
Source: Alexandria via LeMat-Bulk
Functional: PBE-GGA
Structure: optimized geometry

Calculated values
final energy	-5.3325	eV/atom
formation energy (no corrections)	-1.23	eV per atom
magnetic moment	0.00	μB/f.u.
V	662.03	Å³ per cell

a b c (Å): 18.6785 4.2471 8.5941
angles (deg): 90.00 103.82 90.00
Closest atoms and distances in Å follow each position.
Space group C2/m (No. 12)
Symmetry-distinct sites (fractional):
Li1 0.0000 0.0000 0.0000 x2  6 Te 2.99-3.04
Sm1 0.1689 0.5000 0.3385 x4  6 Te 3.09-3.15
Sc1 0.0000 0.0000 0.5000 x2  6 Te 2.91-3.01
Sc2 0.1710 0.5000 0.8305 x4  6 Te 2.91-3.01
Te1 0.0049 0.5000 0.7500 x4  3 Sc 3.01, 2 Li 3.04, 1 Sm 3.15
Te2 0.1603 0.0000 0.5953 x4  3 Sc 2.91, 3 Sm 3.09-3.10
Te3 0.1646 0.0000 0.0668 x4  3 Sc 2.96-2.99, 1 Li 2.99, 2 Sm 3.14